1.
Here is an optimized crystal structure of CeYGa2Au4 from the Alexandria database. Energies are from PBE.

Output
Calculated total energy = -4.563 eV per atom
Size of the total moment = 0.06 μB/atom
Energy of formation = -14.24 kcal/mol of atoms

Unit cell a=9.1507 b=9.1507 c=9.1507 alpha=29.87 beta=29.87 gamma=29.87
Last column: nearest neighbours and their distance in Å.
Atoms (fractional coordinates):
Ce1 0.0000 0.0000 0.0000  8 Au 3.05-3.13
Y1 0.5000 0.5000 0.5000  8 Au 2.99
Ga1 0.2494 0.2494 0.2494  6 Au 2.84-2.88
Ga2 0.7506 0.7506 0.7506  6 Au 2.84-2.88
Au1 0.1195 0.1195 0.1195  3 Ga 2.88, 3 Y 2.99, 1 Ce 3.13
Au2 0.3859 0.3859 0.3859  3 Ga 2.84, 1 Y 2.99, 3 Ce 3.05
Au3 0.6141 0.6141 0.6141  3 Ga 2.84, 1 Y 2.99, 3 Ce 3.05
Au4 0.8805 0.8805 0.8805  3 Ga 2.88, 3 Y 2.99, 1 Ce 3.13



2.
Here is an optimized crystal structure of Ce2Y2Ga4Au from the Alexandria database. Energies are from PBE.

Output
Calculated total energy = -4.769 eV per atom
Size of the total moment = 0.19 μB/atom
Energy of formation = -7.02 kcal/mol of atoms

Unit cell a=6.6663 b=6.6663 c=6.6663 alpha=113.33 beta=113.33 gamma=102.00
Last column: nearest neighbours and their distance in Å.
Atoms (fractional coordinates):
Ce1 0.1599 0.1599 0.0000  1 Ce 2.68, 1 Au 2.85, 4 Ga 2.99
Ce2 0.8401 0.8401 0.0000  1 Ce 2.68, 1 Au 2.85, 4 Ga 2.99
Y1 0.2500 0.7500 0.5000  8 Ga 3.33
Y2 0.7500 0.2500 0.5000  8 Ga 3.33
Ga1 0.2575 0.2575 0.5150  1 Au 2.51
Ga2 0.2575 0.7425 0.0000  1 Au 2.51
Ga3 0.7425 0.2575 0.0000  1 Au 2.51
Ga4 0.7425 0.7425 0.4850  1 Au 2.51
Au1 0.5000 0.5000 0.0000  4 Ga 2.51



3.
Here is an optimized crystal structure of Ce2Zn4Ga3Au from the Alexandria database. Energies are from PBE.

Output
Calculated total energy = -3.361 eV per atom
Size of the total moment = 0.12 μB/atom
Energy of formation = -9.89 kcal/mol of atoms

Unit cell a=4.2841 b=4.2841 c=10.5670 alpha=90.00 beta=90.00 gamma=90.00
Last column: nearest neighbours and their distance in Å.
Atoms (fractional coordinates):
Ce1 0.0000 0.5000 0.2461  6 Ga 3.26-3.43, 8 Zn 3.27-3.37, 2 Au 3.43
Ce2 0.5000 0.0000 0.7539  6 Ga 3.26-3.43, 8 Zn 3.27-3.37, 2 Au 3.43
Zn1 0.0000 0.0000 0.0000  4 Ga 2.56
Zn2 0.0000 0.5000 0.6377  3 Ga 2.42-2.59, 2 Au 2.59
Zn3 0.5000 0.0000 0.3623  3 Ga 2.42-2.59, 2 Au 2.59
Zn4 0.5000 0.5000 0.0000  4 Ga 2.56
Ga1 0.0000 0.5000 0.8668  5 Zn 2.42-2.56
Ga2 0.5000 0.0000 0.1332  5 Zn 2.42-2.56
Ga3 0.5000 0.5000 0.5000  4 Zn 2.59
Au1 0.0000 0.0000 0.5000  4 Zn 2.59



4.
Here is an optimized crystal structure of Ce2Zn3Ga4Au from the Alexandria database. Energies are from PBE.

Output
Calculated total energy = -3.573 eV per atom
Size of the total moment = 0.13 μB/atom
Energy of formation = -10.74 kcal/mol of atoms

Unit cell a=4.3018 b=4.3018 c=10.5240 alpha=90.00 beta=90.00 gamma=90.00
Last column: nearest neighbours and their distance in Å.
Atoms (fractional coordinates):
Ce1 0.0000 0.5000 0.2488  8 Ga 3.27-3.39, 6 Zn 3.28-3.41, 2 Au 3.41
Ce2 0.5000 0.0000 0.7512  8 Ga 3.27-3.39, 6 Zn 3.28-3.41, 2 Au 3.41
Zn1 0.0000 0.5000 0.8678  5 Ga 2.42-2.56
Zn2 0.5000 0.0000 0.1322  5 Ga 2.42-2.56
Zn3 0.5000 0.5000 0.5000  4 Ga 2.59
Ga1 0.0000 0.0000 0.0000  4 Zn 2.56
Ga2 0.0000 0.5000 0.6379  3 Zn 2.42-2.59, 2 Au 2.59
Ga3 0.5000 0.0000 0.3621  3 Zn 2.42-2.59, 2 Au 2.59
Ga4 0.5000 0.5000 0.0000  4 Zn 2.56
Au1 0.0000 0.0000 0.5000  4 Ga 2.59



5.
Here is an optimized crystal structure of Ce2ZnGaAu6 from the Alexandria database. Energies are from PBE.

Output
Calculated total energy = -4.001 eV per atom
Size of the total moment = 0.18 μB/atom
Energy of formation = -9.63 kcal/mol of atoms

Unit cell a=5.2525 b=5.6604 c=7.8233 alpha=99.69 beta=106.62 gamma=100.43
Last column: nearest neighbours and their distance in Å.
Atoms (fractional coordinates):
Ce1 0.0656 0.3063 0.1879  7 Au 3.04-3.17, 2 Ga 3.18-3.38
Ce2 0.9344 0.6937 0.8121  7 Au 3.04-3.17, 2 Ga 3.18-3.38
Zn1 0.5000 0.0000 0.5000  6 Au 2.61-2.67
Ga1 0.5000 0.5000 0.0000  2 Au 2.63
Au1 0.0343 0.1791 0.6848  1 Zn 2.67, 2 Au 2.83-2.94, 1 Ga 2.97
Au2 0.3212 0.5882 0.5959  1 Zn 2.66, 3 Au 2.83-2.93
Au3 0.4339 0.9269 0.1506  1 Zn 2.61, 1 Ga 2.63, 1 Au 2.85
Au4 0.5661 0.0731 0.8494  1 Zn 2.61, 1 Ga 2.63, 1 Au 2.85
Au5 0.6788 0.4118 0.4041  1 Zn 2.66, 3 Au 2.83-2.93
Au6 0.9657 0.8209 0.3152  1 Zn 2.67, 2 Au 2.83-2.94, 1 Ga 2.97



6.
Here is an optimized crystal structure of CeZnGaAu3 from the Alexandria database. Energies are from PBE.

Output
Calculated total energy = -3.657 eV per atom
Size of the total moment = 0.18 μB/atom
Energy of formation = -7.21 kcal/mol of atoms

Unit cell a=6.9965 b=6.9965 c=6.1999 alpha=90.00 beta=90.00 gamma=122.24
Last column: nearest neighbours and their distance in Å.
Atoms (fractional coordinates):
Ce1 0.2067 0.7933 0.7500  1 Zn 2.98, 2 Ga 3.24, 4 Au 3.30
Ce2 0.7933 0.2067 0.2500  1 Zn 2.98, 2 Ga 3.24, 4 Au 3.30
Zn1 0.4501 0.5499 0.7500  5 Au 2.56-2.64
Zn2 0.5499 0.4501 0.2500  5 Au 2.56-2.64
Ga1 0.1299 0.8701 0.2500  5 Au 2.50-2.64
Ga2 0.8701 0.1299 0.7500  5 Au 2.50-2.64
Au1 0.2119 0.2119 0.0000  2 Zn 2.56, 2 Ga 2.64, 1 Au 2.86
Au2 0.2119 0.2119 0.5000  2 Zn 2.56, 2 Ga 2.64, 1 Au 2.86
Au3 0.3341 0.6659 0.2500  1 Ga 2.50, 1 Zn 2.64
Au4 0.6659 0.3341 0.7500  1 Ga 2.50, 1 Zn 2.64
Au5 0.7881 0.7881 0.0000  2 Zn 2.56, 2 Ga 2.64, 1 Au 2.86
Au6 0.7881 0.7881 0.5000  2 Zn 2.56, 2 Ga 2.64, 1 Au 2.86